A plane-wave DFT calculation with PBEsol was carried out for a relaxed structure of Ag2TeP.

a = 4.165 Å, b = 4.165 Å, c = 5.315 Å
α = 113.07°, β = 113.07°, γ = 90.00°
Element x y z (fractional)
Ag  0.750  0.250  0.500
Ag  0.000  0.000  0.000
Te  0.250  0.750  0.500
P  0.500  0.500  0.000

**Space group**: I-4m2, No. 119
**Calculated volume**: 19.187 A^3/atom
**Total magnetic moment**: 0.000 μB/atom
**E_form (uncorrected)**: 0.378 eV/atom
**Offset from the most stable computed form**: 54 meV per atom

***

A plane-wave DFT calculation with PBEsol was carried out for a relaxed structure of SrAl2Ni.

a = 4.499 Å, b = 4.927 Å, c = 4.927 Å
α = 65.42°, β = 62.84°, γ = 62.84°
Element x y z (fractional)
Al  0.055  0.945  0.945
Al  0.788  0.712  0.712
Ni  0.404  0.596  0.596
Sr  0.253  0.247  0.247

**Space group**: Imm2, No. 44
**Calculated volume**: 20.862 A^3/atom
**Formation energy**: 28 meV per atom
**Total magnetic moment**: 0.000 μB/atom

***

A plane-wave DFT calculation with PBEsol was carried out for a relaxed structure of SrH6C2S2N2O3.

a = 7.076 Å, b = 9.269 Å, c = 13.313 Å
α = 94.74°, β = 90.00°, γ = 90.00°
Element x y z (fractional)
O  0.320  0.844  0.059
O  0.313  0.758  0.807
O  0.180  0.344  0.559
O  0.813  0.742  0.693
O  0.128  0.948  0.299
O  0.680  0.156  0.941
O  0.372  0.448  0.799
O  0.687  0.242  0.193
O  0.628  0.552  0.201
O  0.872  0.052  0.701
O  0.820  0.656  0.441
O  0.187  0.258  0.307
H  0.439  0.862  0.097
H  0.191  0.364  0.308
H  0.751  0.064  0.934
H  0.167  0.846  0.299
H  0.833  0.154  0.701
H  0.061  0.362  0.597
H  0.658  0.280  0.263
H  0.501  0.556  0.231
H  0.939  0.638  0.403
H  0.842  0.780  0.763
H  0.499  0.444  0.769
H  0.251  0.436  0.566
H  0.809  0.636  0.692
H  0.333  0.346  0.799
H  0.749  0.564  0.434
H  0.691  0.136  0.192
H  0.667  0.654  0.201
H  0.001  0.944  0.269
H  0.342  0.720  0.737
H  0.999  0.056  0.731
H  0.561  0.138  0.903
H  0.158  0.220  0.237
H  0.309  0.864  0.808
H  0.249  0.936  0.066
N  0.375  0.364  0.025
N  0.125  0.864  0.525
N  0.530  0.937  0.386
N  0.970  0.437  0.886
N  0.625  0.636  0.975
N  0.470  0.063  0.614
N  0.030  0.563  0.114
N  0.875  0.136  0.475
C  0.104  0.581  0.194
C  0.739  0.723  0.955
C  0.261  0.277  0.045
C  0.604  0.919  0.306
C  0.396  0.081  0.694
C  0.896  0.419  0.806
C  0.761  0.223  0.455
C  0.239  0.777  0.545
S  0.291  0.105  0.803
S  0.709  0.895  0.197
S  0.209  0.605  0.303
S  0.600  0.340  0.429
S  0.400  0.660  0.571
S  0.100  0.160  0.071
S  0.900  0.840  0.929
S  0.791  0.395  0.697
Sr  0.743  0.391  0.049
Sr  0.257  0.609  0.951
Sr  0.243  0.109  0.451
Sr  0.757  0.891  0.549

**Space group**: P2_1/c, No. 14
**Calculated volume**: 13.597 A^3/atom
**Total magnetic moment**: 0.000 μB/atom
**Uncorrected energy**: -0.2184 hartree per atom

***

Question: What is the calculated volume in the third record?
Answer: 13.597 A^3/atom

***

Copy entry 1 word for word.
A plane-wave DFT calculation with PBEsol was carried out for a relaxed structure of Ag2TeP.

a = 4.165 Å, b = 4.165 Å, c = 5.315 Å
α = 113.07°, β = 113.07°, γ = 90.00°
Element x y z (fractional)
Ag  0.750  0.250  0.500
Ag  0.000  0.000  0.000
Te  0.250  0.750  0.500
P  0.500  0.500  0.000

**Space group**: I-4m2, No. 119
**Calculated volume**: 19.187 A^3/atom
**Total magnetic moment**: 0.000 μB/atom
**E_form (uncorrected)**: 0.378 eV/atom
**Offset from the most stable computed form**: 54 meV per atom

***

Question: What is the total magnetic moment in the second record?
Answer: 0.000 μB/atom